La2SmMg9 | GGA-PBE | relaxed

Structure (POSCAR):
```
La2SmMg9
1.0
3.0569 1.7649 9.9809
-3.0569 1.7649 9.9809
0.0000 -3.5298 9.9809
La Sm Mg
2 1 9
Direct
0.1429 0.1429 0.1429
0.8571 0.8571 0.8571
0.0000 0.0000 0.0000
0.0797 0.5836 0.5836
0.3339 0.3339 0.3339
0.4164 0.4164 0.9203
0.4164 0.9203 0.4164
0.5000 0.5000 0.5000
0.5836 0.0797 0.5836
0.5836 0.5836 0.0797
0.6661 0.6661 0.6661
0.9203 0.4164 0.4164
```

Volume (Å³ per cell): 323
Formation energy (eV per atom): -0.070
Total DFT energy (no corrections) (eV/atom): -2.48